Below is a relaxed structure of Tb2TcC2, with properties calculated at the PBE level.

Unit cell a=6.1501 b=6.1501 c=6.6853 alpha=115.95 beta=115.95 gamma=49.36
Fractional positions:
Tb 0.0315 0.0315 0.2769
Tb 0.3210 0.3210 0.8774
Tb 0.6790 0.6790 0.1226
Tb 0.9685 0.9685 0.7231
Tc 0.3628 0.3628 0.3706
Tc 0.6372 0.6372 0.6294
C 0.1808 0.1808 0.1106
C 0.4929 0.4929 0.7219
C 0.5071 0.5071 0.2781
C 0.8192 0.8192 0.8894

Properties
* final energy: -7.933 eV/atom

***

Below is a relaxed structure of Sc4Ta2Bi3N3, with properties calculated at the PBE level.

Unit cell a=5.8706 b=5.8706 c=14.2066 alpha=101.79 beta=101.79 gamma=60.37
Fractional positions:
Sc 0.0290 0.1928 0.0821
Sc 0.1379 0.3048 0.4180
Sc 0.1928 0.0290 0.5821
Sc 0.3048 0.1379 0.9180
Sc 0.6952 0.8621 0.0820
Sc 0.8072 0.9710 0.4179
Sc 0.8621 0.6952 0.5820
Sc 0.9710 0.8072 0.9179
Ta 0.3569 0.5242 0.0728
Ta 0.4758 0.6431 0.4272
Ta 0.5242 0.3569 0.5728
Ta 0.6431 0.4758 0.9272
Bi 0.0916 0.9084 0.2500
Bi 0.2604 0.4156 0.7509
Bi 0.4156 0.2604 0.2509
Bi 0.5844 0.7396 0.7491
Bi 0.7396 0.5844 0.2491
Bi 0.9084 0.0916 0.7500
N 0.0000 0.5000 0.0000
N 0.1669 0.6664 0.5000
N 0.3336 0.8331 0.0000
N 0.5000 0.0000 0.5000
N 0.6664 0.1669 0.0000
N 0.8331 0.3336 0.5000

Properties
* final energy: -8.033 eV/atom

***

Below is a relaxed structure of Zn2BrN, with properties calculated at the PBE level.

Unit cell a=6.2529 b=6.1314 c=7.6696 alpha=90.00 beta=90.00 gamma=90.00
Fractional positions:
Zn 0.0000 0.0000 0.0000
Zn 0.0000 0.5000 0.0000
Zn 0.1186 0.2500 0.3251
Zn 0.3814 0.7500 0.8251
Zn 0.5000 0.0000 0.5000
Zn 0.5000 0.5000 0.5000
Zn 0.6186 0.2500 0.1749
Zn 0.8814 0.7500 0.6749
Br 0.0891 0.7500 0.3833
Br 0.4109 0.2500 0.8833
Br 0.5891 0.7500 0.1167
Br 0.9109 0.2500 0.6167
N 0.0770 0.7500 0.8717
N 0.4230 0.2500 0.3717
N 0.5770 0.7500 0.6283
N 0.9230 0.2500 0.1283

Properties
* energy relative to the lowest polymorph listed for this composition: 0 meV/atom
* final energy: -3.497 eV/atom

***

Please write out number 3 again, unchanged.
Below is a relaxed structure of Zn2BrN, with properties calculated at the PBE level.

Unit cell a=6.2529 b=6.1314 c=7.6696 alpha=90.00 beta=90.00 gamma=90.00
Fractional positions:
Zn 0.0000 0.0000 0.0000
Zn 0.0000 0.5000 0.0000
Zn 0.1186 0.2500 0.3251
Zn 0.3814 0.7500 0.8251
Zn 0.5000 0.0000 0.5000
Zn 0.5000 0.5000 0.5000
Zn 0.6186 0.2500 0.1749
Zn 0.8814 0.7500 0.6749
Br 0.0891 0.7500 0.3833
Br 0.4109 0.2500 0.8833
Br 0.5891 0.7500 0.1167
Br 0.9109 0.2500 0.6167
N 0.0770 0.7500 0.8717
N 0.4230 0.2500 0.3717
N 0.5770 0.7500 0.6283
N 0.9230 0.2500 0.1283

Properties
* energy relative to the lowest polymorph listed for this composition: 0 meV/atom
* final energy: -3.497 eV/atom

***

- Which value of final energy does entry 2 give?
  -8.033 eV/atom